LiAlGe | PBEsol | optimized geometry

Computed properties:
The theoretical density is 3.35 Mg/m³. The value obtained for the formation energy is -0.30 eV/atom. The magnetization comes out at 0.000 μB/cell. The volume is 211 Å³/cell.

Cell lengths 5.955, 5.955, 5.955 Å; angles 90.00, 90.00, 90.00 degrees
Space group F-43m (No. 216)
Asymmetric unit:
Li  0.000  0.000  0.000
Al  0.000  0.000  0.500
Ge  0.250  0.250  0.250